1.
DFT (GGA-PBE) results for a relaxed structure of Mn2InAg.

Properties
* ΔE_f: 274.1 meV per atom

Unit cell a=3.0064 b=3.9042 c=5.8648 alpha=90.00 beta=90.00 gamma=90.00
Each line ends with the local moment (μB).
Positions (direct):
1 Ag 0.5000 0.5000 0.2500  0.01
2 Mn 0.0000 0.0000 0.4946  3.57
3 Mn 0.0000 0.0000 0.0054  3.57
4 In 0.5000 0.5000 0.7500  -0.14



2.
DFT (GGA-PBE) results for a relaxed structure of Mn2InAg.

Properties
* ΔE_f: 325.2 meV per atom

Unit cell a=2.9865 b=5.0539 c=5.7858 alpha=53.07 beta=90.00 gamma=90.00
Each line ends with the local moment (μB).
Positions (direct):
1 Ag 0.5000 0.5000 0.5000  0.00
2 In 0.0000 0.0000 0.5000  -0.11
3 Mn 0.5000 0.5000 0.0000  3.42
4 Mn 0.0000 0.0000 0.0000  3.66